a.
The following is a PBE calculation of a relaxed structure of Mn2NbZn2, from Alexandria.

a b c (Å): 7.219 7.219 2.767
angles (deg): 90.00 90.00 90.00
Atoms (fractional coordinates):
Mn: 0.123 0.377 0.000
Mn: 0.377 0.877 0.000
Mn: 0.623 0.123 0.000
Mn: 0.877 0.623 0.000
Nb: 0.000 0.000 0.000
Nb: 0.500 0.500 0.000
Zn: 0.174 0.674 0.500
Zn: 0.326 0.174 0.500
Zn: 0.674 0.826 0.500
Zn: 0.826 0.326 0.500

Properties
Total magnetization (μB per cell): 9.6

b.
The following is a PBE calculation of a relaxed structure of Mn2NbZn2, from Alexandria.

a b c (Å): 7.241 7.241 2.786
angles (deg): 90.00 90.00 90.00
Atoms (fractional coordinates):
Mn: 0.178 0.322 0.000
Mn: 0.322 0.822 0.000
Mn: 0.678 0.178 0.000
Mn: 0.822 0.678 0.000
Nb: 0.000 0.000 0.500
Nb: 0.500 0.500 0.500
Zn: 0.121 0.621 0.500
Zn: 0.379 0.121 0.500
Zn: 0.621 0.879 0.500
Zn: 0.879 0.379 0.500

Properties
Total magnetization (μB per cell): 10.5

Stability comparison, relative energies in meV per atom: a 58; b 0

a.
The following is a PBE calculation of a relaxed structure of Zr3MnNb, from Alexandria.

a b c (Å): 5.027 5.027 5.027
angles (deg): 90.00 90.00 90.00
Atoms (fractional coordinates):
Zr: 0.000 0.000 0.500
Zr: 0.000 0.500 0.000
Zr: 0.500 0.000 0.000
Mn: 0.500 0.500 0.500
Nb: 0.000 0.000 0.000

Properties
Total magnetization (μB per cell): 0.1

b.
The following is a PBE calculation of a relaxed structure of Zr3MnNb, from Alexandria.

a b c (Å): 4.786 4.786 4.786
angles (deg): 90.00 90.00 90.00
Atoms (fractional coordinates):
Zr: 0.000 0.000 0.500
Zr: 0.000 0.500 0.000
Zr: 0.500 0.000 0.000
Mn: 0.000 0.000 0.000
Nb: 0.500 0.500 0.500

Properties
Total magnetization (μB per cell): 0.0

Stability comparison, relative energies in meV per atom: a 920; b 0